# 1
AgIrPb3 | PBE | relaxed Values from VASP.

Calculated values
Formation enthalpy at 0 K (meV per atom): 428
Energy relative to the lowest polymorph listed for this composition (meV per atom): 0

The structure in Quantum ESPRESSO input format:
```
&SYSTEM
  ibrav = 0, nat = 5, ntyp = 3
/
ATOMIC_SPECIES
Ag 107.87 Ag.upf
Ir 192.22 Ir.upf
Pb 207.20 Pb.upf
ATOMIC_POSITIONS crystal
Ag 0.000 0.000 0.000
Ir 0.500 0.500 0.500
Pb 0.000 0.500 0.500
Pb 0.500 0.000 0.500
Pb 0.500 0.500 0.000
CELL_PARAMETERS angstrom
5.324 0.000 0.000
0.000 5.324 0.000
0.000 0.000 5.324
```

# 2
AgIr2Pb | PBE | relaxed Values from VASP.

Calculated values
Formation enthalpy at 0 K (meV per atom): 427

The structure in Quantum ESPRESSO input format:
```
&SYSTEM
  ibrav = 0, nat = 4, ntyp = 3
/
ATOMIC_SPECIES
Ag 107.87 Ag.upf
Ir 192.22 Ir.upf
Pb 207.20 Pb.upf
ATOMIC_POSITIONS crystal
Ag 0.000 0.000 0.000
Ir 0.000 0.000 0.416
Ir 0.500 0.500 0.234
Pb 0.500 0.500 0.687
CELL_PARAMETERS angstrom
3.023 0.000 0.000
0.000 3.023 0.000
0.000 0.000 8.328
```

# 3
Ag2IrPb | PBE | relaxed Values from VASP.

Calculated values
Formation enthalpy at 0 K (meV per atom): 335

The structure in Quantum ESPRESSO input format:
```
&SYSTEM
  ibrav = 0, nat = 4, ntyp = 3
/
ATOMIC_SPECIES
Ag 107.87 Ag.upf
Ir 192.22 Ir.upf
Pb 207.20 Pb.upf
ATOMIC_POSITIONS crystal
Ag 0.000 0.000 0.000
Ag 0.498 0.500 0.785
Ir 0.001 0.000 0.528
Pb 0.500 0.500 0.307
CELL_PARAMETERS angstrom
3.177 0.000 0.000
0.000 3.947 0.000
-0.039 0.000 6.077
```

# 4
AgIrPb | PBE | relaxed Values from VASP.

Calculated values
Formation enthalpy at 0 K (meV per atom): 440
Energy relative to the lowest polymorph listed for this composition (meV per atom): 81

The structure in Quantum ESPRESSO input format:
```
&SYSTEM
  ibrav = 0, nat = 3, ntyp = 3
/
ATOMIC_SPECIES
Ag 107.87 Ag.upf
Ir 192.22 Ir.upf
Pb 207.20 Pb.upf
ATOMIC_POSITIONS crystal
Ag 0.000 0.000 0.000
Ir 0.660 0.660 0.000
Pb 0.320 0.320 0.000
CELL_PARAMETERS angstrom
-1.603 1.956 4.593
1.603 -1.956 4.593
1.603 1.956 -4.593
```

# 5
Ag2IrPb | PBE | relaxed Values from VASP.

Calculated values
Formation enthalpy at 0 K (meV per atom): 345

The structure in Quantum ESPRESSO input format:
```
&SYSTEM
  ibrav = 0, nat = 4, ntyp = 3
/
ATOMIC_SPECIES
Ag 107.87 Ag.upf
Ir 192.22 Ir.upf
Pb 207.20 Pb.upf
ATOMIC_POSITIONS crystal
Ag 0.000 0.000 0.000
Ag 0.750 0.250 0.500
Ir 0.500 0.500 0.000
Pb 0.250 0.750 0.500
CELL_PARAMETERS angstrom
-2.140 2.140 4.080
2.140 -2.140 4.080
2.140 2.140 -4.080
```

# 6
AgIrPb2 | PBE | relaxed Values from VASP.

Calculated values
Formation enthalpy at 0 K (meV per atom): 296
Energy relative to the lowest polymorph listed for this composition (meV per atom): 14

The structure in Quantum ESPRESSO input format:
```
&SYSTEM
  ibrav = 0, nat = 4, ntyp = 3
/
ATOMIC_SPECIES
Ag 107.87 Ag.upf
Ir 192.22 Ir.upf
Pb 207.20 Pb.upf
ATOMIC_POSITIONS crystal
Ag 0.000 0.000 0.000
Ir 0.307 0.307 0.807
Pb 0.614 0.614 0.614
Pb 0.832 0.832 0.332
CELL_PARAMETERS angstrom
6.787 -1.593 0.000
6.787 1.593 0.000
-1.543 0.000 4.336
```

# 7
Ag2IrPb | PBE | relaxed Values from VASP.

Calculated values
Formation enthalpy at 0 K (meV per atom): 408

The structure in Quantum ESPRESSO input format:
```
&SYSTEM
  ibrav = 0, nat = 4, ntyp = 3
/
ATOMIC_SPECIES
Ag 107.87 Ag.upf
Ir 192.22 Ir.upf
Pb 207.20 Pb.upf
ATOMIC_POSITIONS crystal
Ag 0.000 0.000 0.000
Ag 0.254 0.254 0.254
Ir 0.509 0.509 0.509
Pb 0.764 0.764 0.764
CELL_PARAMETERS angstrom
1.551 0.895 9.425
-1.551 0.895 9.425
0.000 -1.791 9.425
```

# 8
Ag2IrPb | PBE | relaxed Values from VASP.

Calculated values
Formation enthalpy at 0 K (meV per atom): 356

The structure in Quantum ESPRESSO input format:
```
&SYSTEM
  ibrav = 0, nat = 4, ntyp = 3
/
ATOMIC_SPECIES
Ag 107.87 Ag.upf
Ir 192.22 Ir.upf
Pb 207.20 Pb.upf
ATOMIC_POSITIONS crystal
Ag 0.000 0.000 0.000
Ag 0.500 0.500 0.000
Ir 0.000 0.500 0.500
Pb 0.500 0.000 0.500
CELL_PARAMETERS angstrom
4.697 0.000 0.000
0.000 3.220 0.000
-1.447 0.000 5.004
```

# 9
AgIrPb | PBE | relaxed Values from VASP.

Calculated values
Formation enthalpy at 0 K (meV per atom): 549
Energy relative to the lowest polymorph listed for this composition (meV per atom): 190

The structure in Quantum ESPRESSO input format:
```
&SYSTEM
  ibrav = 0, nat = 3, ntyp = 3
/
ATOMIC_SPECIES
Ag 107.87 Ag.upf
Ir 192.22 Ir.upf
Pb 207.20 Pb.upf
ATOMIC_POSITIONS crystal
Ag 0.000 0.000 0.000
Ir 0.707 0.207 0.500
Pb 0.297 0.797 0.500
CELL_PARAMETERS angstrom
-1.560 2.202 4.490
1.560 -2.202 4.490
1.560 2.202 -4.490
```

# 10
AgIrPb | PBE | relaxed Values from VASP.

Calculated values
Formation enthalpy at 0 K (meV per atom): 605
Energy relative to the lowest polymorph listed for this composition (meV per atom): 246

The structure in Quantum ESPRESSO input format:
```
&SYSTEM
  ibrav = 0, nat = 3, ntyp = 3
/
ATOMIC_SPECIES
Ag 107.87 Ag.upf
Ir 192.22 Ir.upf
Pb 207.20 Pb.upf
ATOMIC_POSITIONS crystal
Ag 0.000 0.000 0.000
Ir 0.653 0.653 0.347
Pb 0.310 0.310 0.690
CELL_PARAMETERS angstrom
0.000 2.531 7.234
1.656 0.000 7.234
1.656 2.531 0.000
```

# 11
Ag2IrPb | PBE | relaxed Values from VASP.

Calculated values
Formation enthalpy at 0 K (meV per atom): 462

The structure in Quantum ESPRESSO input format:
```
&SYSTEM
  ibrav = 0, nat = 4, ntyp = 3
/
ATOMIC_SPECIES
Ag 107.87 Ag.upf
Ir 192.22 Ir.upf
Pb 207.20 Pb.upf
ATOMIC_POSITIONS crystal
Ag 0.000 0.000 0.213
Ag 0.000 0.000 0.787
Ir 0.500 0.500 0.000
Pb 0.500 0.500 0.500
CELL_PARAMETERS angstrom
3.055 0.000 0.000
0.000 3.055 0.000
0.000 0.000 8.478
```

# 12
AgIr2Pb | PBE | relaxed Values from VASP.

Calculated values
Formation enthalpy at 0 K (meV per atom): 519

The structure in Quantum ESPRESSO input format:
```
&SYSTEM
  ibrav = 0, nat = 4, ntyp = 3
/
ATOMIC_SPECIES
Ag 107.87 Ag.upf
Ir 192.22 Ir.upf
Pb 207.20 Pb.upf
ATOMIC_POSITIONS crystal
Ag 0.000 0.000 0.000
Ir 0.251 0.251 0.771
Ir 0.749 0.749 0.229
Pb 0.500 0.500 0.500
CELL_PARAMETERS angstrom
4.711 -1.502 0.000
4.711 1.502 0.000
-0.866 0.000 5.000
```

# 13
AgIrPb2 | PBE | relaxed Values from VASP.

Calculated values
Formation enthalpy at 0 K (meV per atom): 399
Energy relative to the lowest polymorph listed for this composition (meV per atom): 118

The structure in Quantum ESPRESSO input format:
```
&SYSTEM
  ibrav = 0, nat = 4, ntyp = 3
/
ATOMIC_SPECIES
Ag 107.87 Ag.upf
Ir 192.22 Ir.upf
Pb 207.20 Pb.upf
ATOMIC_POSITIONS crystal
Ag 0.000 0.000 0.000
Ir 0.500 0.500 0.500
Pb 0.241 0.241 0.730
Pb 0.759 0.759 0.270
CELL_PARAMETERS angstrom
4.438 -1.674 0.000
4.438 1.674 0.000
-1.209 0.000 6.037
```

# 14
Ag2IrPb | PBE | relaxed Values from VASP.

Calculated values
Formation enthalpy at 0 K (meV per atom): 543

The structure in Quantum ESPRESSO input format:
```
&SYSTEM
  ibrav = 0, nat = 4, ntyp = 3
/
ATOMIC_SPECIES
Ag 107.87 Ag.upf
Ir 192.22 Ir.upf
Pb 207.20 Pb.upf
ATOMIC_POSITIONS crystal
Ag 0.000 0.000 0.227
Ag 0.000 0.000 0.773
Ir 0.500 0.500 0.000
Pb 0.500 0.500 0.500
CELL_PARAMETERS angstrom
1.551 -2.539 0.000
1.551 2.539 0.000
0.000 0.000 10.074
```

# 15
AgIrPb2 | PBE | relaxed Values from VASP.

Calculated values
Formation enthalpy at 0 K (meV per atom): 282
Energy relative to the lowest polymorph listed for this composition (meV per atom): 0

The structure in Quantum ESPRESSO input format:
```
&SYSTEM
  ibrav = 0, nat = 4, ntyp = 3
/
ATOMIC_SPECIES
Ag 107.87 Ag.upf
Ir 192.22 Ir.upf
Pb 207.20 Pb.upf
ATOMIC_POSITIONS crystal
Ag 0.000 0.000 0.000
Ir 0.156 0.500 0.313
Pb 0.436 0.500 0.871
Pb 0.726 0.000 0.454
CELL_PARAMETERS angstrom
3.519 0.000 0.000
0.000 4.742 0.000
-1.752 0.000 5.282
```